V2GeCO, optimized geometry, DFT PBE with a Hubbard U; space group = P4/mmm (123); spin magnetization = 0.9116 μB per atom; DOS at the Fermi energy = 3.435 states/eV per cell; VASP energy = -4.849 eV per atom
1.0
-0.033 -0.780 -4.905
2.942 -2.230 0.335
-3.021 -3.890 0.639
V Ge C O
2 1 1 1
direct
0.000 0.000 0.500 V
0.500 0.000 0.000 V
0.000 0.000 0.000 Ge
0.500 0.500 0.500 C
0.000 0.500 0.000 O

---

GeW2CO, optimized geometry, DFT PBE with a Hubbard U; space group = P4/mmm (123); spin magnetization = 0.6927 μB per atom; DOS at the Fermi energy = 1.948 states/eV per cell; VASP energy = -5.278 eV per atom
1.0
-0.393 4.163 0.991
-3.604 -0.028 -1.314
-1.418 -1.065 3.914
Ge C W O
1 1 2 1
direct
0.500 0.500 0.500 Ge
0.000 0.500 0.000 C
0.000 0.000 0.500 W
0.500 0.000 0.000 W
0.000 0.000 0.000 O